1.
Nd3ErIr3: optimized geometry, PBE.

Geometry as extended XYZ:
```
14
Lattice="-5.237 -3.420 -3.704 2.890 -6.658 0.409 -3.605 -2.329 5.290" Properties=species:S:1:pos:R:3 pbc="T T T"
Ir -6.528 -8.491 0.522
Ir -2.985 -10.034 -2.000
Ir -2.455 -10.114 2.583
Ir -3.497 -2.292 -0.588
Ir 0.576 -3.915 1.474
Ir -2.967 -2.372 3.996
Nd -3.425 -8.224 0.294
Nd -2.527 -4.182 1.701
Nd 0.636 -5.759 -0.732
Nd -2.983 -4.318 -2.563
Nd -5.482 -5.205 -0.271
Nd -0.470 -7.202 2.266
Er -0.675 -2.259 -0.444
Er -5.277 -10.147 2.440
```

Results
Calculated volume = 351 Å³/cell
DFT formation energy = -0.566 eV/atom

=====

2.
NdEr4Ir4: optimized geometry, PBE.

Geometry as extended XYZ:
```
18
Lattice="-1.565 1.499 -5.178 6.538 -5.029 -3.432 -5.556 -6.987 -0.344" Properties=species:S:1:pos:R:3 pbc="T T T"
Ir -3.080 -4.612 -4.081
Ir -4.331 -6.135 -5.918
Ir 0.574 -2.732 -3.373
Ir 2.510 -3.195 -7.134
Ir -0.831 -8.098 -4.502
Ir -0.866 -2.527 -1.104
Ir 1.522 -9.177 -3.751
Ir 2.172 -5.593 -5.952
Er 3.201 -3.422 -4.355
Er 1.269 -8.287 -6.471
Er -2.395 -4.833 -1.321
Er 0.328 -1.848 -6.073
Er -3.452 -7.413 -3.500
Er 3.045 -6.865 -3.554
Er -2.184 -1.912 -3.582
Er -2.143 -7.489 -6.959
Nd -0.291 -5.259 -4.477
Nd 0.000 0.000 0.000
```

Results
Calculated volume = 448 Å³/cell
DFT formation energy = -0.651 eV/atom